Entry 1:
This record from the Alexandria database describes a geometry-optimized TlCu2Se structure. The functional is GGA-PBEsol.

Output
SG: P4/mmm, No. 123
DFT total energy: -3.54 eV/atom
ρ: 9.79 g cm⁻³
DOS(E_F): 1.337 states/eV/f.u.
offset from the most stable computed form: 0.008 eV/atom

Cell: 3.3019 3.3019 6.3848 Å, 90.00 90.00 90.00°
Last column: nearest neighbours and their distance in Å.
Atoms (fractional coordinates):
Tl  0.0000  0.0000  0.0000  8 Cu 3.04, 2 Se 3.19, 4 Tl 3.30
Cu  0.5000  0.5000  0.3046  1 Cu 2.50, 4 Se 2.65
Cu  0.5000  0.5000  0.6954  1 Cu 2.50, 4 Se 2.65
Se  0.0000  0.0000  0.5000  8 Cu 2.65

***

Entry 2:
This record from the Alexandria database describes a geometry-optimized Tl3CuSe structure. The functional is GGA-PBEsol.

Output
SG: Pm-3m, No. 221
DFT total energy: -3.16 eV/atom
ρ: 9.58 g cm⁻³
DOS(E_F): 1.868 states/eV/f.u.

Cell: 5.0783 5.0783 5.0783 Å, 90.00 90.00 90.00°
Last column: nearest neighbours and their distance in Å.
Atoms (fractional coordinates):
Tl  0.0000  0.0000  0.5000  2 Cu 2.54
Tl  0.0000  0.5000  0.0000  2 Cu 2.54
Tl  0.5000  0.0000  0.0000  2 Cu 2.54
Cu  0.0000  0.0000  0.0000  6 Tl 2.54
Se  0.5000  0.5000  0.5000  12 Tl 3.59

***

Entry 3:
This record from the Alexandria database describes a geometry-optimized TlCu4Se3 structure. The functional is GGA-PBEsol.

Output
SG: P4/mmm, No. 123
DFT total energy: -4.10 eV/atom
ρ: 7.83 g cm⁻³
DOS(E_F): 3.052 states/eV/f.u.

Cell: 3.8188 3.8188 10.1120 Å, 90.00 90.00 90.00°
Last column: nearest neighbours and their distance in Å.
Atoms (fractional coordinates):
Tl  0.0000  0.0000  0.0000  8 Se 3.33
Cu  0.0000  0.5000  0.3375  4 Se 2.40-2.52
Cu  0.0000  0.5000  0.6625  4 Se 2.40-2.52
Cu  0.5000  0.0000  0.3375  4 Se 2.40-2.52
Cu  0.5000  0.0000  0.6625  4 Se 2.40-2.52
Se  0.0000  0.0000  0.5000  8 Cu 2.52
Se  0.5000  0.5000  0.1932  4 Cu 2.40
Se  0.5000  0.5000  0.8068  4 Cu 2.40

***

Entry 4:
This record from the Alexandria database describes a geometry-optimized ZrTlCuSe3 structure. The functional is GGA-PBEsol.

Output
SG: Cmcm, No. 63
DFT total energy: -5.47 eV/atom
ρ: 7.25 g cm⁻³
DOS(E_F): 0.049 states/eV/f.u.

Cell: 7.4349 7.4349 10.0026 Å, 90.00 90.00 150.40°
Last column: nearest neighbours and their distance in Å.
Atoms (fractional coordinates):
Zr  0.0000  0.0000  0.0000  6 Se 2.69-2.70
Zr  0.0000  0.0000  0.5000  6 Se 2.69-2.70
Tl  0.2480  0.7520  0.7500  8 Se 3.24-3.50, 2 Cu 3.60
Tl  0.7520  0.2480  0.2500  8 Se 3.24-3.50, 2 Cu 3.60
Cu  0.4650  0.5350  0.2500  4 Se 2.40-2.42
Cu  0.5350  0.4650  0.7500  4 Se 2.40-2.42
Se  0.0697  0.9303  0.2500  2 Cu 2.42, 2 Zr 2.69
Se  0.3710  0.6290  0.0515  1 Cu 2.40
Se  0.3710  0.6290  0.4485  1 Cu 2.40
Se  0.6290  0.3710  0.5515  1 Cu 2.40
Se  0.6290  0.3710  0.9485  1 Cu 2.40
Se  0.9303  0.0697  0.7500  2 Cu 2.42, 2 Zr 2.69

***

- Which formula does entry 2 have?
  Tl3CuSe